(1)
DFT (GGA-PBE) results for a geometry-optimized SiRuF2 structure.

```
4
Lattice="-9.192 0.535 3.486 -8.043 -0.334 5.668 -8.091 2.228 5.146" Properties=species:S:1:pos:R:3 pbc="T T T"
Si 0.000 0.000 0.000
Ru -12.663 1.215 7.150
F -23.898 2.292 13.494
F -1.427 0.137 0.806
```

## Properties
As for the space group: R-3m, No. 166. As for the magnetic moment: 0.2 μB per formula unit.

(2)
DFT (GGA-PBE) results for a geometry-optimized SiRuF2 structure.

```
4
Lattice="0.000 2.946 2.946 2.946 0.000 2.946 2.946 2.946 0.000" Properties=species:S:1:pos:R:3 pbc="T T T"
F 4.419 4.419 4.419
Ru 2.946 2.946 2.946
Si 0.000 0.000 0.000
F 1.473 1.473 1.473
```

## Properties
As for the space group: Fm-3m, No. 225. As for the magnetic moment: 2.1 μB per formula unit.

Energies, relative to the best one, in meV/atom: (1) 0; (2) 705.

(1)
DFT (GGA-PBE) results for a geometry-optimized SiRuF2 structure.

```
8
Lattice="-0.195 0.473 5.228 4.839 -2.011 0.362 4.095 3.442 2.480" Properties=species:S:1:pos:R:3 pbc="T T T"
F 1.511 0.895 3.826
F 4.912 1.964 3.964
Si 5.628 0.331 2.819
Ru 0.000 0.000 0.000
F 4.020 -0.327 1.607
Si 2.322 -0.769 2.795
Ru 3.111 1.573 5.251
F 7.036 1.277 6.744
```

## Properties
As for the space group: I-42d, No. 122. As for the magnetic moment: 0.0 μB per formula unit.

(2)
DFT (GGA-PBE) results for a geometry-optimized SiRuF2 structure.

```
4
Lattice="-5.898 2.045 5.059 -5.644 -0.539 5.694 -4.043 1.278 6.825" Properties=species:S:1:pos:R:3 pbc="T T T"
F -14.250 2.546 16.073
Ru 0.000 0.000 0.000
Si -7.792 1.392 8.789
F -1.334 0.238 1.505
```

## Properties
As for the space group: R-3m, No. 166. As for the magnetic moment: 0.6 μB per formula unit.

Energies, relative to the best one, in meV/atom: (1) 897; (2) 0.

(1)
DFT (GGA-PBE) results for a geometry-optimized SiRuF3 structure.

```
5
Lattice="4.183 0.000 0.000 0.000 4.183 0.000 0.000 0.000 4.183" Properties=species:S:1:pos:R:3 pbc="T T T"
Si 2.091 2.091 2.091
F 2.091 0.000 0.000
F 0.000 2.091 0.000
F 0.000 0.000 2.091
Ru 0.000 0.000 0.000
```

## Properties
As for the space group: Pm-3m, No. 221. As for the magnetic moment: 0.0 μB per formula unit.

(2)
DFT (GGA-PBE) results for a geometry-optimized SiRuF3 structure.

```
5
Lattice="-0.559 0.776 4.087 3.742 -1.708 0.836 1.817 3.755 -0.464" Properties=species:S:1:pos:R:3 pbc="T T T"
F 1.871 -0.854 0.418
Si 0.000 0.000 0.000
F 0.909 1.877 -0.232
F -0.280 0.388 2.043
Ru 2.500 1.411 2.229
```

## Properties
As for the space group: Pm-3m, No. 221. As for the magnetic moment: 2.9 μB per formula unit.

Energies, relative to the best one, in meV/atom: (1) 158; (2) 0.

(1)
DFT (GGA-PBE) results for a geometry-optimized Si3RuF structure.

```
5
Lattice="-4.386 1.098 -0.542 -0.410 -3.216 -3.197 -1.153 -3.030 3.197" Properties=species:S:1:pos:R:3 pbc="T T T"
Si -0.205 -1.608 -1.598
Si -0.577 -1.515 1.598
Ru 0.000 0.000 0.000
Si -2.193 0.549 -0.271
F -2.975 -2.575 -0.271
```

## Properties
As for the space group: Pm-3m, No. 221. As for the magnetic moment: 0.0 μB per formula unit.

(2)
DFT (GGA-PBE) results for a geometry-optimized Si3RuF structure.

```
5
Lattice="-1.916 -3.616 0.718 0.975 0.284 4.029 -3.555 2.027 0.717" Properties=species:S:1:pos:R:3 pbc="T T T"
Si -1.778 1.013 0.359
Si -0.958 -1.808 0.359
Si 0.487 0.142 2.014
F 0.000 0.000 0.000
Ru -2.249 -0.652 2.732
```

## Properties
As for the space group: Pm-3m, No. 221. As for the magnetic moment: 0.0 μB per formula unit.

Energies, relative to the best one, in meV/atom: (1) 0; (2) 623.

(1)
DFT (GGA-PBE) results for a geometry-optimized SnRu2F structure.

```
4
Lattice="0.000 3.145 3.145 3.145 0.000 3.145 3.145 3.145 0.000" Properties=species:S:1:pos:R:3 pbc="T T T"
Ru 1.573 1.573 1.573
Ru 4.718 4.718 4.718
Sn 3.145 3.145 3.145
F 0.000 0.000 0.000
```

## Properties
As for the space group: Fm-3m, No. 225. As for the magnetic moment: 2.3 μB per formula unit.

(2)
DFT (GGA-PBE) results for a geometry-optimized SnRu2F structure.

```
8
Lattice="-0.274 -0.970 3.850 -1.634 -3.490 -0.995 6.818 -5.772 1.088" Properties=species:S:1:pos:R:3 pbc="T T T"
Ru 4.259 -6.297 1.803
Sn 2.795 -4.486 3.183
Ru 1.352 -2.403 2.228
Ru 3.582 -7.936 3.399
Ru 0.626 -3.827 0.457
F -0.954 -2.230 1.428
F 2.115 -5.746 0.760
Sn 0.000 0.000 0.000
```

## Properties
As for the space group: I-42d, No. 122. As for the magnetic moment: 0.0 μB per formula unit.

Energies, relative to the best one, in meV/atom: (1) 82; (2) 0.

(1)
DFT (GGA-PBE) results for a geometry-optimized Sr2RuF structure.

```
8
Lattice="7.132 0.000 0.000 0.000 7.132 0.000 3.566 3.566 4.088" Properties=species:S:1:pos:R:3 pbc="T T T"
F 3.566 7.132 2.044
F 3.566 3.566 0.000
Ru 7.132 3.566 2.044
Sr 4.947 1.783 1.022
Sr 2.185 5.349 1.022
Sr 8.915 8.513 3.066
Ru 0.000 0.000 0.000
Sr 5.349 5.750 3.066
```

## Properties
As for the space group: I-42d, No. 122. As for the magnetic moment: 1.0 μB per formula unit.

(2)
DFT (GGA-PBE) results for a geometry-optimized Sr2RuF structure.

```
4
Lattice="1.025 2.398 4.437 -3.842 1.933 2.827 -1.268 -2.210 4.472" Properties=species:S:1:pos:R:3 pbc="T T T"
Sr -3.064 1.591 8.802
Sr -1.021 0.530 2.934
F 0.000 0.000 0.000
Ru -2.042 1.061 5.868
```

## Properties
As for the space group: Fm-3m, No. 225. As for the magnetic moment: 1.0 μB per formula unit.

Energies, relative to the best one, in meV/atom: (1) 0; (2) 288.